# 1
{"formula": "Pm3In2Sn", "functional": "PBE", "state": "relaxed", "cell": [[2.538, -7.617, 0.000], [2.538, 7.617, 0.000], [0.000, 0.000, 4.391]], "species": ["Pm", "Pm", "Pm", "In", "In", "Sn"], "frac_coords": [[0.000, 0.000, 0.000], [0.335, 0.665, 0.000], [0.665, 0.335, 0.000], [0.171, 0.829, 0.500], [0.829, 0.171, 0.500], [0.500, 0.500, 0.500]], "formation_enthalpy_0k_kcal_per_mol_atoms": -12.9, "mass_density_kg_m3": 7663, "m_tot_mub_per_cell": 0.00, "relative_energy_mev_per_atom": 0}



# 2
{"formula": "Pm7InSn5", "functional": "PBE", "state": "relaxed", "cell": [[-3.179, 5.744, 5.404], [3.179, -5.744, 5.404], [3.179, 5.744, -5.404]], "species": ["Pm", "Pm", "Pm", "Pm", "Pm", "Pm", "Pm", "In", "Sn", "Sn", "Sn", "Sn", "Sn"], "frac_coords": [[0.000, 0.000, 0.000], [0.287, 0.618, 0.669], [0.380, 0.380, 0.000], [0.439, 0.101, 0.337], [0.764, 0.101, 0.663], [0.845, 0.345, 0.500], [0.950, 0.618, 0.331], [0.685, 0.685, 0.000], [0.106, 0.114, 0.491], [0.106, 0.615, 0.992], [0.356, 0.856, 0.500], [0.623, 0.114, 0.008], [0.623, 0.615, 0.509]], "formation_enthalpy_0k_kcal_per_mol_atoms": -11.2, "mass_density_kg_m3": 7250, "m_tot_mub_per_cell": 0.00}



# 3
{"formula": "Pm2In2Sn3", "functional": "PBE", "state": "relaxed", "cell": [[5.725, -2.398, 0.000], [5.725, 2.398, 0.000], [-1.092, 0.000, 6.970]], "species": ["Pm", "Pm", "In", "In", "Sn", "Sn", "Sn"], "frac_coords": [[0.097, 0.097, 0.280], [0.903, 0.903, 0.720], [0.383, 0.383, 0.396], [0.617, 0.617, 0.604], [0.206, 0.206, 0.839], [0.500, 0.500, 0.000], [0.794, 0.794, 0.161]], "formation_enthalpy_0k_kcal_per_mol_atoms": -10.4, "mass_density_kg_m3": 7598, "m_tot_mub_per_cell": 0.00}



# 4
{"formula": "Pm10In3Sn3", "functional": "PBE", "state": "relaxed", "cell": [[9.237, 0.000, 0.000], [-4.619, 7.999, 0.000], [0.000, 0.000, 6.841]], "species": ["Pm", "Pm", "Pm", "Pm", "Pm", "Pm", "Pm", "Pm", "Pm", "Pm", "In", "In", "In", "Sn", "Sn", "Sn"], "frac_coords": [[0.000, 0.241, 0.000], [0.000, 0.763, 0.500], [0.237, 0.237, 0.500], [0.241, 0.000, 0.000], [0.333, 0.667, 0.250], [0.333, 0.667, 0.750], [0.667, 0.333, 0.250], [0.667, 0.333, 0.750], [0.759, 0.759, 0.000], [0.763, 0.000, 0.500], [0.000, 0.401, 0.500], [0.401, 0.000, 0.500], [0.599, 0.599, 0.500], [0.000, 0.605, 0.000], [0.395, 0.395, 0.000], [0.605, 0.000, 0.000]], "formation_enthalpy_0k_kcal_per_mol_atoms": -12.0, "mass_density_kg_m3": 7064, "m_tot_mub_per_cell": 0.00}



# 5
{"formula": "PmIn2Sn2", "functional": "PBE", "state": "relaxed", "cell": [[2.245, -13.199, 0.000], [2.245, 13.199, 0.000], [0.000, 0.000, 4.541]], "species": ["Pm", "Pm", "In", "In", "In", "In", "Sn", "Sn", "Sn", "Sn"], "frac_coords": [[0.153, 0.847, 0.750], [0.847, 0.153, 0.250], [0.052, 0.948, 0.250], [0.452, 0.548, 0.250], [0.548, 0.452, 0.750], [0.948, 0.052, 0.750], [0.250, 0.750, 0.250], [0.356, 0.644, 0.750], [0.644, 0.356, 0.250], [0.750, 0.250, 0.750]], "formation_enthalpy_0k_kcal_per_mol_atoms": -7.8, "mass_density_kg_m3": 7555, "m_tot_mub_per_cell": 0.00, "relative_energy_mev_per_atom": 0}



# 6
{"formula": "Pm2In9Sn", "functional": "PBE", "state": "relaxed", "cell": [[4.695, 0.000, 0.000], [0.000, 4.695, 0.000], [0.000, 0.000, 14.375]], "species": ["Pm", "Pm", "In", "In", "In", "In", "In", "In", "In", "In", "In", "Sn"], "frac_coords": [[0.000, 0.000, 0.163], [0.000, 0.000, 0.837], [0.000, 0.500, 0.000], [0.000, 0.500, 0.332], [0.000, 0.500, 0.668], [0.500, 0.000, 0.000], [0.500, 0.000, 0.332], [0.500, 0.000, 0.668], [0.500, 0.500, 0.163], [0.500, 0.500, 0.500], [0.500, 0.500, 0.837], [0.000, 0.000, 0.500]], "formation_enthalpy_0k_kcal_per_mol_atoms": -6.0, "mass_density_kg_m3": 7558, "m_tot_mub_per_cell": 0.00}



# 7
{"formula": "Pm4In3Sn2", "functional": "PBE", "state": "relaxed", "cell": [[8.014, -5.327, 0.000], [8.014, 5.327, 0.000], [-1.014, 0.000, 6.197]], "species": ["Pm", "Pm", "Pm", "Pm", "Pm", "Pm", "Pm", "Pm", "In", "In", "In", "In", "In", "In", "Sn", "Sn", "Sn", "Sn"], "frac_coords": [[0.174, 0.693, 0.968], [0.203, 0.458, 0.422], [0.307, 0.826, 0.532], [0.458, 0.203, 0.922], [0.542, 0.797, 0.078], [0.693, 0.174, 0.468], [0.797, 0.542, 0.578], [0.826, 0.307, 0.032], [0.040, 0.183, 0.484], [0.183, 0.040, 0.984], [0.499, 0.501, 0.750], [0.501, 0.499, 0.250], [0.817, 0.960, 0.016], [0.960, 0.817, 0.516], [0.109, 0.381, 0.876], [0.381, 0.109, 0.376], [0.619, 0.891, 0.624], [0.891, 0.619, 0.124]], "formation_enthalpy_0k_kcal_per_mol_atoms": -11.2, "mass_density_kg_m3": 7294, "m_tot_mub_per_cell": 0.00}



# 8
{"formula": "Pm12InSn6", "functional": "PBE", "state": "relaxed", "cell": [[6.976, 4.028, 4.127], [-6.976, 4.028, 4.127], [0.000, -8.056, 4.127]], "species": ["Pm", "Pm", "Pm", "Pm", "Pm", "Pm", "Pm", "Pm", "Pm", "Pm", "Pm", "Pm", "In", "Sn", "Sn", "Sn", "Sn", "Sn", "Sn"], "frac_coords": [[0.052, 0.670, 0.947], [0.053, 0.948, 0.330], [0.186, 0.418, 0.559], [0.330, 0.053, 0.948], [0.418, 0.559, 0.186], [0.441, 0.814, 0.582], [0.559, 0.186, 0.418], [0.582, 0.441, 0.814], [0.670, 0.947, 0.052], [0.814, 0.582, 0.441], [0.947, 0.052, 0.670], [0.948, 0.330, 0.053], [0.000, 0.000, 0.000], [0.130, 0.621, 0.313], [0.313, 0.130, 0.621], [0.379, 0.687, 0.870], [0.621, 0.313, 0.130], [0.687, 0.870, 0.379], [0.870, 0.379, 0.687]], "formation_enthalpy_0k_kcal_per_mol_atoms": -8.1, "mass_density_kg_m3": 6126, "m_tot_mub_per_cell": 0.00}



# 9
{"formula": "Pm6In2Sn", "functional": "PBE", "state": "relaxed", "cell": [[10.336, 0.000, 0.000], [0.000, 10.336, 0.000], [0.000, 0.000, 5.226]], "species": ["Pm", "Pm", "Pm", "Pm", "Pm", "Pm", "Pm", "Pm", "Pm", "Pm", "Pm", "Pm", "In", "In", "In", "In", "Sn", "Sn"], "frac_coords": [[0.021, 0.319, 0.000], [0.126, 0.874, 0.500], [0.181, 0.521, 0.500], [0.319, 0.021, 0.000], [0.374, 0.374, 0.000], [0.479, 0.819, 0.500], [0.521, 0.181, 0.500], [0.626, 0.626, 0.000], [0.681, 0.979, 0.000], [0.819, 0.479, 0.500], [0.874, 0.126, 0.500], [0.979, 0.681, 0.000], [0.204, 0.204, 0.500], [0.296, 0.704, 0.000], [0.704, 0.296, 0.000], [0.796, 0.796, 0.500], [0.000, 0.000, 0.000], [0.500, 0.500, 0.500]], "formation_enthalpy_0k_kcal_per_mol_atoms": -8.3, "mass_density_kg_m3": 7248, "m_tot_mub_per_cell": 1.81}



# 10
{"formula": "PmIn2Sn", "functional": "PBE", "state": "relaxed", "cell": [[3.935, 0.000, 0.000], [0.000, 3.935, 0.000], [0.000, 0.000, 7.025]], "species": ["Pm", "In", "In", "Sn"], "frac_coords": [[0.000, 0.000, 0.000], [0.500, 0.500, 0.274], [0.500, 0.500, 0.726], [0.000, 0.000, 0.500]], "formation_enthalpy_0k_kcal_per_mol_atoms": -6.4, "mass_density_kg_m3": 7532, "m_tot_mub_per_cell": 0.00, "relative_energy_mev_per_atom": 208}



# 11
{"formula": "PmIn2Sn", "functional": "PBE", "state": "relaxed", "cell": [[4.664, 0.000, 0.000], [0.000, 4.664, 0.000], [0.000, 0.000, 4.816]], "species": ["Pm", "In", "In", "Sn"], "frac_coords": [[0.000, 0.000, 0.000], [0.000, 0.500, 0.500], [0.500, 0.000, 0.500], [0.500, 0.500, 0.000]], "formation_enthalpy_0k_kcal_per_mol_atoms": -11.2, "mass_density_kg_m3": 7819, "m_tot_mub_per_cell": 0.00, "relative_energy_mev_per_atom": 0}



# 12
{"formula": "PmIn2Sn", "functional": "PBE", "state": "relaxed", "cell": [[2.548, 1.471, 5.038], [-2.548, 1.471, 5.038], [0.000, -2.942, 5.038]], "species": ["Pm", "In", "In", "Sn"], "frac_coords": [[0.000, 0.000, 0.000], [0.235, 0.235, 0.235], [0.765, 0.765, 0.765], [0.500, 0.500, 0.500]], "formation_enthalpy_0k_kcal_per_mol_atoms": -4.5, "mass_density_kg_m3": 7232, "m_tot_mub_per_cell": 0.00, "relative_energy_mev_per_atom": 291}



# 13
{"formula": "Pm4InSn5", "functional": "PBE", "state": "relaxed", "cell": [[-2.284, 5.544, 5.749], [2.284, -5.544, 5.749], [2.284, 5.544, -5.749]], "species": ["Pm", "Pm", "Pm", "Pm", "In", "Sn", "Sn", "Sn", "Sn", "Sn"], "frac_coords": [[0.189, 0.189, 0.000], [0.286, 0.500, 0.786], [0.714, 0.500, 0.214], [0.811, 0.811, 0.000], [0.000, 0.500, 0.500], [0.116, 0.794, 0.322], [0.472, 0.794, 0.678], [0.500, 0.000, 0.500], [0.528, 0.206, 0.322], [0.884, 0.206, 0.678]], "formation_enthalpy_0k_kcal_per_mol_atoms": -12.7, "mass_density_kg_m3": 7346, "m_tot_mub_per_cell": 0.00}



# 14
{"formula": "Pm3In12Sn5", "functional": "PBE", "state": "relaxed", "cell": [[-8.847, 8.847, 8.847], [8.847, -8.847, 8.847], [8.847, 8.847, -8.847]], "species": ["Pm", "Pm", "Pm", "Pm", "Pm", "Pm", "Pm", "Pm", "Pm", "Pm", "Pm", "Pm", "In", "In", "In", "In", "In", "In", "In", "In", "In", "In", "In", "In", "In", "In", "In", "In", "In", "In", "In", "In", "In", "In", "In", "In", "In", "In", "In", "In", "In", "In", "In", "In", "In", "In", "In", "In", "In", "In", "In", "In", "In", "In", "In", "In", "In", "In", "In", "In", "Sn", "Sn", "Sn", "Sn", "Sn", "Sn", "Sn", "Sn", "Sn", "Sn", "Sn", "Sn", "Sn", "Sn", "Sn", "Sn", "Sn", "Sn", "Sn", "Sn"], "frac_coords": [[0.125, 0.250, 0.375], [0.125, 0.375, 0.750], [0.250, 0.375, 0.125], [0.250, 0.875, 0.625], [0.375, 0.125, 0.250], [0.375, 0.750, 0.125], [0.625, 0.250, 0.875], [0.625, 0.875, 0.750], [0.750, 0.125, 0.375], [0.750, 0.625, 0.875], [0.875, 0.625, 0.250], [0.875, 0.750, 0.625], [0.047, 0.225, 0.113], [0.047, 0.322, 0.934], [0.066, 0.613, 0.388], [0.066, 0.953, 0.678], [0.112, 0.725, 0.678], [0.112, 0.887, 0.434], [0.113, 0.047, 0.225], [0.113, 0.566, 0.888], [0.178, 0.225, 0.612], [0.178, 0.453, 0.566], [0.225, 0.113, 0.047], [0.225, 0.612, 0.178], [0.275, 0.322, 0.888], [0.275, 0.453, 0.387], [0.322, 0.888, 0.275], [0.322, 0.934, 0.047], [0.387, 0.275, 0.453], [0.387, 0.612, 0.934], [0.388, 0.066, 0.613], [0.388, 0.822, 0.775], [0.434, 0.112, 0.887], [0.434, 0.822, 0.547], [0.453, 0.387, 0.275], [0.453, 0.566, 0.178], [0.547, 0.434, 0.822], [0.547, 0.613, 0.725], [0.566, 0.178, 0.453], [0.566, 0.888, 0.113], [0.612, 0.178, 0.225], [0.612, 0.934, 0.387], [0.613, 0.388, 0.066], [0.613, 0.725, 0.547], [0.678, 0.066, 0.953], [0.678, 0.112, 0.725], [0.725, 0.547, 0.613], [0.725, 0.678, 0.112], [0.775, 0.388, 0.822], [0.775, 0.887, 0.953], [0.822, 0.547, 0.434], [0.822, 0.775, 0.388], [0.887, 0.434, 0.112], [0.887, 0.953, 0.775], [0.888, 0.113, 0.566], [0.888, 0.275, 0.322], [0.934, 0.047, 0.322], [0.934, 0.387, 0.612], [0.953, 0.678, 0.066], [0.953, 0.775, 0.887], [0.000, 0.000, 0.000], [0.000, 0.000, 0.500], [0.000, 0.500, 0.000], [0.000, 0.500, 0.500], [0.125, 0.750, 0.875], [0.125, 0.875, 0.250], [0.250, 0.125, 0.875], [0.250, 0.625, 0.375], [0.375, 0.250, 0.625], [0.375, 0.625, 0.750], [0.500, 0.000, 0.000], [0.500, 0.000, 0.500], [0.500, 0.500, 0.000], [0.500, 0.500, 0.500], [0.625, 0.375, 0.250], [0.625, 0.750, 0.375], [0.750, 0.375, 0.625], [0.750, 0.875, 0.125], [0.875, 0.125, 0.750], [0.875, 0.250, 0.125]], "formation_enthalpy_0k_kcal_per_mol_atoms": 3.1, "mass_density_kg_m3": 5771, "m_tot_mub_per_cell": 0.00}



# 15
{"formula": "PmInSn", "functional": "PBE", "state": "relaxed", "cell": [[7.252, 0.000, 0.000], [0.000, 7.252, 0.000], [0.000, 0.000, 7.252]], "species": ["Pm", "Pm", "Pm", "Pm", "In", "In", "In", "In", "Sn", "Sn", "Sn", "Sn"], "frac_coords": [[0.026, 0.026, 0.026], [0.474, 0.974, 0.526], [0.526, 0.474, 0.974], [0.974, 0.526, 0.474], [0.011, 0.989, 0.489], [0.489, 0.011, 0.989], [0.511, 0.511, 0.511], [0.989, 0.489, 0.011], [0.218, 0.718, 0.782], [0.282, 0.282, 0.282], [0.718, 0.782, 0.218], [0.782, 0.218, 0.718]], "formation_enthalpy_0k_kcal_per_mol_atoms": -5.5, "mass_density_kg_m3": 6593, "m_tot_mub_per_cell": 0.00, "relative_energy_mev_per_atom": 245}



# 16
{"formula": "Pm6In2Sn3", "functional": "PBE", "state": "relaxed", "cell": [[-2.964, 2.964, 10.848], [2.964, -2.964, 10.848], [2.964, 2.964, -10.848]], "species": ["Pm", "Pm", "Pm", "Pm", "Pm", "Pm", "In", "In", "Sn", "Sn", "Sn"], "frac_coords": [[0.086, 0.586, 0.500], [0.202, 0.202, 0.000], [0.414, 0.914, 0.500], [0.586, 0.086, 0.500], [0.798, 0.798, 0.000], [0.914, 0.414, 0.500], [0.064, 0.064, 0.000], [0.936, 0.936, 0.000], [0.346, 0.346, 0.000], [0.500, 0.500, 0.000], [0.654, 0.654, 0.000]], "formation_enthalpy_0k_kcal_per_mol_atoms": -3.6, "mass_density_kg_m3": 6339, "m_tot_mub_per_cell": 0.00}



# 17
{"formula": "Pm5In2Sn2", "functional": "PBE", "state": "relaxed", "cell": [[-8.865, 4.860, 3.170], [8.865, -4.860, 3.170], [8.865, 4.860, -3.170]], "species": ["Pm", "Pm", "Pm", "Pm", "Pm", "Pm", "Pm", "Pm", "Pm", "Pm", "In", "In", "In", "In", "Sn", "Sn", "Sn", "Sn"], "frac_coords": [[0.096, 0.390, 0.014], [0.096, 0.582, 0.206], [0.230, 0.075, 0.304], [0.230, 0.425, 0.655], [0.376, 0.082, 0.986], [0.376, 0.890, 0.794], [0.719, 0.484, 0.735], [0.749, 0.984, 0.265], [0.770, 0.575, 0.345], [0.770, 0.925, 0.696], [0.083, 0.987, 0.596], [0.299, 0.299, 0.000], [0.299, 0.799, 0.500], [0.392, 0.487, 0.404], [0.664, 0.156, 0.356], [0.664, 0.808, 0.008], [0.800, 0.308, 0.644], [0.800, 0.656, 0.992]], "formation_enthalpy_0k_kcal_per_mol_atoms": -10.6, "mass_density_kg_m3": 7246, "m_tot_mub_per_cell": 0.00}



What VASP energy values result from the calculations? In sequence: -4.516 -4.795 -4.306 -4.753 -3.987 -3.441 -4.401 -4.760 -4.579 -3.835 -4.043 -3.752 -4.726 -3.224 -4.069 -4.337 -4.596 eV per atom.